[1]
Compound: Li2Co2Si
Source: the Alexandria database
Functional: GGA-PBE
Structure: relaxed

Output
- Crystal system: tetragonal

Cell: 3.0934 3.0934 16.3740 Å, 90.00 90.00 90.00°
Space group I4/mmm (No. 139)
Asymmetric unit:
Li  0.0000  0.0000  0.1090 x4
Co  0.0000  0.5000  0.2500 x4
Si  0.0000  0.0000  0.5000 x2

[2]
Compound: TaCuAs2
Source: the Alexandria database
Functional: GGA-PBE
Structure: relaxed

Output
- Crystal system: cubic
- Energy relative to the elements: 427 meV per atom

Cell: 6.4320 6.4320 6.4320 Å, 90.00 90.00 90.00°
Space group F-43m (No. 216)
Asymmetric unit:
Ta  0.0000  0.0000  0.0000 x4
Cu  0.2500  0.2500  0.7500 x4
As  0.0000  0.0000  0.5000 x4
As  0.2500  0.2500  0.2500 x4

[3]
Compound: HoZn2Co
Source: the Alexandria database
Functional: GGA-PBE
Structure: relaxed

Output
- Crystal system: orthorhombic
- Energy relative to the elements: -283 meV per atom

Cell: 14.4825 7.2300 5.1489 Å, 90.00 90.00 90.00°
Space group Pnma (No. 62)
Asymmetric unit:
Ho  0.1032  0.2500  0.2395 x4
Ho  0.1391  0.7500  0.4543 x4
Zn  0.0402  0.0578  0.7541 x8
Zn  0.2110  0.5503  0.9389 x8
Co  0.0709  0.7500  0.9796 x4
Co  0.1886  0.2500  0.7063 x4

[4]
Compound: TbDyAlCd
Source: the Alexandria database
Functional: GGA-PBE
Structure: relaxed

Output
- Crystal system: cubic
- Energy relative to the elements: -355 meV per atom

Cell: 7.3703 7.3703 7.3703 Å, 90.00 90.00 90.00°
Space group F-43m (No. 216)
Asymmetric unit:
Tb  0.0000  0.0000  0.0000 x4
Dy  0.0000  0.0000  0.5000 x4
Al  0.2500  0.2500  0.2500 x4
Cd  0.2500  0.2500  0.7500 x4

[5]
Compound: Ca2Ac2Pt3
Source: the Alexandria database
Functional: GGA-PBE
Structure: relaxed

Output
- Crystal system: monoclinic
- Energy relative to the elements: -954 meV per atom

Cell: 14.9568 4.5694 5.9205 Å, 90.00 97.42 90.00°
Space group C2/m (No. 12)
Asymmetric unit:
Ca  0.1090  0.0000  0.1021 x4
Ac  0.1424  0.5000  0.6102 x4
Pt  0.0000  0.0000  0.5000 x2
Pt  0.2305  0.5000  0.1555 x4

[6]
Compound: InP2Cl
Source: the Alexandria database
Functional: GGA-PBE
Structure: relaxed

Output
- Crystal system: tetragonal

Cell: 3.2577 3.2577 8.9688 Å, 90.00 90.00 90.00°
Space group P4mm (No. 99)
Asymmetric unit:
In  0.0000  0.0000  0.0000 x1
P  0.0000  0.0000  0.4092 x1
P  0.5000  0.5000  0.3441 x1
Cl  0.5000  0.5000  0.8051 x1

[7]
Compound: AlCoCl2
Source: the Alexandria database
Functional: GGA-PBE
Structure: relaxed

Output
- Crystal system: orthorhombic

Cell: 3.2163 5.9952 8.4710 Å, 90.00 90.00 90.00°
Space group Cmmm (No. 65)
Asymmetric unit:
Al  0.0000  0.0000  0.0000 x2
Co  0.0000  0.0000  0.5000 x2
Cl  0.0000  0.5000  0.3008 x4

[8]
Compound: Be2SbP
Source: the Alexandria database
Functional: GGA-PBE
Structure: relaxed

Output
- Crystal system: tetragonal

Cell: 4.1537 4.1537 6.9626 Å, 90.00 90.00 90.00°
Space group I4/mmm (No. 139)
Asymmetric unit:
Be  0.0000  0.5000  0.2500 x4
Sb  0.0000  0.0000  0.0000 x2
P  0.0000  0.0000  0.5000 x2

Number 1: E -4.31 eV per atom, M_tot 6.41 Bohr magnetons per cell. Number 2: E -5.88 eV per atom, M_tot 0.00 Bohr magnetons per cell. Number 3: E -3.84 eV per atom, M_tot 0.00 Bohr magnetons per cell. Number 4: E -3.83 eV per atom, M_tot 0.00 Bohr magnetons per cell. Number 5: E -5.29 eV per atom, M_tot 0.00 Bohr magnetons per cell. Number 6: E -3.87 eV per atom, M_tot 0.00 Bohr magnetons per cell. Number 7: E -3.66 eV per atom, M_tot 4.47 Bohr magnetons per cell. Number 8: E -3.54 eV per atom, M_tot 0.00 Bohr magnetons per cell.